# 1
PrU2Ir9: relaxed, GGA-PBE.

The formation energy is -0.46 eV/atom.

The structure belongs to space group R-3m (No. 166, hexagonal axes); the cell edges are 5.3149, 5.3149 and 26.3091 Å and the angles 90.00°, 90.00° and 120.00°. The inequivalent atoms are Pr at (0.0000, 0.0000, 0.0000), U at (0.0000, 0.0000, 0.1404), Ir at (0.0000, 0.0000, 0.3332), Ir at (0.0000, 0.0000, 0.5000) and Ir at (0.0030, 0.5015, 0.9161).


# 2
PrUIr3: relaxed, GGA-PBE.

The formation energy is -0.34 eV/atom.

The structure belongs to space group R3m (No. 160, hexagonal axes); the cell edges are 5.8768, 5.8768 and 23.5070 Å and the angles 90.00°, 90.00° and 120.00°. The inequivalent atoms are Pr at (0.0000, 0.0000, 0.0000), Pr at (0.0000, 0.0000, 0.2477), U at (0.0000, 0.0000, 0.6330), U at (0.0000, 0.0000, 0.7958), Ir at (0.0015, 0.5007, 0.2144) and Ir at (0.0309, 0.5155, 0.0454).


# 3
Pr2YIr3: relaxed, GGA-PBE.

The formation energy is -0.32 eV/atom.

The structure belongs to space group Immm (No. 71); the cell edges are 4.362, 5.812 and 11.667 Å and the angles 90.00°, 90.00° and 90.00°. The inequivalent atoms are Pr at (0.000, 0.000, 0.170), Y at (0.000, 0.000, 0.500), Ir at (0.000, 0.500, 0.150) and Ir at (0.000, 0.500, 0.500).


# 4
PrY2Ir: relaxed, GGA-PBE.

The formation energy is -0.34 eV/atom. For the energy above the most stable polymorph in this dataset, the calculation gives 16.5 kJ per mole of atoms.

The structure belongs to space group R3m (No. 160, hexagonal axes); the cell edges are 4.0220, 4.0220 and 26.8297 Å and the angles 90.00°, 90.00° and 120.00°. The inequivalent atoms are Pr at (0.0000, 0.0000, 0.0000), Y at (0.0000, 0.0000, 0.2247), Y at (0.0000, 0.0000, 0.4469) and Ir at (0.0000, 0.0000, 0.8357).


# 5
Pr3Y2Ir2: relaxed, GGA-PBE.

The formation energy is -0.50 eV/atom.

The structure belongs to space group C2/m (No. 12); the cell edges are 12.379, 3.976 and 8.973 Å and the angles 90.00°, 114.87° and 90.00°. The inequivalent atoms are Pr at (0.000, 0.000, 0.000), Pr at (0.116, 0.000, 0.428), Y at (0.173, 0.500, 0.814) and Ir at (0.185, 0.500, 0.236).


# 6
PrY2Ir: relaxed, GGA-PBE.

The formation energy is -0.41 eV/atom. For the energy above the most stable polymorph in this dataset, the calculation gives 10.5 kJ per mole of atoms.

The structure belongs to space group P4/mmm (No. 123); the cell edges are 3.504, 3.504 and 8.988 Å and the angles 90.00°, 90.00° and 90.00°. The inequivalent atoms are Pr at (0.000, 0.000, 0.000), Y at (0.500, 0.500, 0.318) and Ir at (0.000, 0.000, 0.500).


# 7
PrYIr: relaxed, GGA-PBE.

The formation energy is -0.52 eV/atom. For the energy above the most stable polymorph in this dataset, the calculation gives 5.1 kJ per mole of atoms.

The structure belongs to space group C2/m (No. 12); the cell edges are 6.537, 6.540 and 8.069 Å and the angles 90.00°, 113.76° and 90.00°. The inequivalent atoms are Pr at (0.187, 0.000, 0.373), Y at (0.250, 0.250, 0.000) and Ir at (0.123, 0.500, 0.249).


# 8
PrY2Ir: relaxed, GGA-PBE.

The formation energy is -0.52 eV/atom. For the energy above the most stable polymorph in this dataset, the calculation gives 0.0 kJ per mole of atoms.

The structure belongs to space group Pnma (No. 62); the cell edges are 7.331, 9.457 and 6.529 Å and the angles 90.00°, 90.00° and 90.00°. The inequivalent atoms are Pr at (0.035, 0.250, 0.136), Y at (0.174, 0.065, 0.670) and Ir at (0.118, 0.750, 0.438).


# 9
PrYIr2: relaxed, GGA-PBE.

The formation energy is -0.61 eV/atom. For the energy above the most stable polymorph in this dataset, the calculation gives 0.0 kJ per mole of atoms.

The structure belongs to space group Fm-3m (No. 225); the cell edges are 7.016, 7.016 and 7.016 Å and the angles 90.00°, 90.00° and 90.00°. The inequivalent atoms are Pr at (0.000, 0.000, 0.000), Y at (0.000, 0.000, 0.500) and Ir at (0.250, 0.250, 0.250).


# 10
PrY2Ir9: relaxed, GGA-PBE.

The formation energy is -0.56 eV/atom.

The structure belongs to space group R-3m (No. 166, hexagonal axes); the cell edges are 5.3511, 5.3511 and 26.2919 Å and the angles 90.00°, 90.00° and 120.00°. The inequivalent atoms are Pr at (0.0000, 0.0000, 0.0000), Y at (0.0000, 0.0000, 0.1397), Ir at (0.0000, 0.0000, 0.3328), Ir at (0.0000, 0.0000, 0.5000) and Ir at (0.0009, 0.5004, 0.0824).


# 11
PrYIr: relaxed, GGA-PBE.

The formation energy is -0.57 eV/atom. For the energy above the most stable polymorph in this dataset, the calculation gives 0.0 kJ per mole of atoms.

The structure belongs to space group Amm2 (No. 38); the cell edges are 4.681, 13.096 and 7.571 Å and the angles 90.00°, 90.00° and 90.00°. The inequivalent atoms are Pr at (0.000, 0.000, 0.000), Pr at (0.000, 0.205, 0.387), Y at (0.500, 0.000, 0.330), Y at (0.500, 0.130, 0.721), Ir at (0.000, 0.000, 0.591) and Ir at (0.500, 0.167, 0.091).


# 12
PrYIr2: relaxed, GGA-PBE.

The formation energy is -0.61 eV/atom. For the energy above the most stable polymorph in this dataset, the calculation gives 0.2 kJ per mole of atoms.

The structure belongs to space group P4/mmm (No. 123); the cell edges are 4.860, 4.860 and 3.649 Å and the angles 90.00°, 90.00° and 90.00°. The inequivalent atoms are Pr at (0.000, 0.000, 0.000), Y at (0.500, 0.500, 0.000) and Ir at (0.000, 0.500, 0.500).


# 13
PrYIr4: relaxed, GGA-PBE.

The formation energy is -0.72 eV/atom.

The structure belongs to space group F-43m (No. 216); the cell edges are 7.658, 7.658 and 7.658 Å and the angles 90.00°, 90.00° and 90.00°. The inequivalent atoms are Pr at (0.000, 0.000, 0.000), Y at (0.250, 0.250, 0.250) and Ir at (0.125, 0.125, 0.625).


# 14
PrYIr: relaxed, GGA-PBE.

The formation energy is -0.45 eV/atom. For the energy above the most stable polymorph in this dataset, the calculation gives 11.5 kJ per mole of atoms.

The structure belongs to space group I4mm (No. 107); the cell edges are 3.541, 3.541 and 13.128 Å and the angles 90.00°, 90.00° and 90.00°. The inequivalent atoms are Pr at (0.000, 0.000, 0.000), Y at (0.000, 0.000, 0.253) and Ir at (0.000, 0.000, 0.634).


# 15
PrY2Ir2: relaxed, GGA-PBE.

The formation energy is -0.64 eV/atom.

The structure belongs to space group P2_1/m (No. 11); the cell edges are 5.512, 4.456 and 10.726 Å and the angles 90.00°, 98.39° and 90.00°. The inequivalent atoms are Pr at (0.088, 0.250, 0.285), Y at (0.252, 0.250, 0.972), Y at (0.397, 0.250, 0.615), Ir at (0.152, 0.750, 0.477) and Ir at (0.274, 0.750, 0.137).


# 16
PrYIr: relaxed, GGA-PBE.

The formation energy is -0.56 eV/atom. For the energy above the most stable polymorph in this dataset, the calculation gives 1.5 kJ per mole of atoms.

The structure belongs to space group F-43m (No. 216); the cell edges are 6.945, 6.945 and 6.945 Å and the angles 90.00°, 90.00° and 90.00°. The inequivalent atoms are Pr at (0.000, 0.000, 0.000), Y at (0.000, 0.000, 0.500) and Ir at (0.250, 0.250, 0.750).


# 17
PrY2Ir: relaxed, GGA-PBE.

The formation energy is -0.16 eV/atom. For the energy above the most stable polymorph in this dataset, the calculation gives 34.3 kJ per mole of atoms.

The structure belongs to space group R-3m (No. 166, hexagonal axes); the cell edges are 3.8113, 3.8113 and 31.7610 Å and the angles 90.00°, 90.00° and 120.00°. The inequivalent atoms are Pr at (0.0000, 0.0000, 0.0000), Y at (0.0000, 0.0000, 0.1151) and Ir at (0.0000, 0.0000, 0.5000).


# 18
PrY2Ir: relaxed, GGA-PBE.

The formation energy is -0.48 eV/atom. For the energy above the most stable polymorph in this dataset, the calculation gives 3.0 kJ per mole of atoms.

The structure belongs to space group Cmcm (No. 63); the cell edges are 3.871, 12.430 and 9.364 Å and the angles 90.00°, 90.00° and 90.00°. The inequivalent atoms are Pr at (0.000, 0.073, 0.250), Y at (0.000, 0.357, 0.068) and Ir at (0.000, 0.246, 0.750).


# 19
PrYIr: relaxed, GGA-PBE.

The formation energy is -0.48 eV/atom. For the energy above the most stable polymorph in this dataset, the calculation gives 8.9 kJ per mole of atoms.

The structure belongs to space group P3m1 (No. 156); the cell edges are 4.1873, 4.1873 and 6.3074 Å and the angles 90.00°, 90.00° and 120.00°. The inequivalent atoms are Pr at (0.0000, 0.0000, 0.0000), Y at (0.6667, 0.3333, 0.4587) and Ir at (0.3333, 0.6667, 0.2409).


# 20
Pr2YIr9: relaxed, GGA-PBE.

The formation energy is -0.50 eV/atom.

The structure belongs to space group R-3m (No. 166, hexagonal axes); the cell edges are 5.3592, 5.3592 and 26.7010 Å and the angles 90.00°, 90.00° and 120.00°. The inequivalent atoms are Pr at (0.0000, 0.0000, 0.1393), Y at (0.0000, 0.0000, 0.0000), Ir at (0.0000, 0.0000, 0.3321), Ir at (0.0000, 0.0000, 0.5000) and Ir at (0.0034, 0.5017, 0.0802).


# 21
PrY3Ir8: relaxed, GGA-PBE.

The formation energy is -0.76 eV/atom.

The structure belongs to space group R3m (No. 160, hexagonal axes); the cell edges are 5.3919, 5.3919 and 26.3974 Å and the angles 90.00°, 90.00° and 120.00°. The inequivalent atoms are Pr at (0.0000, 0.0000, 0.0000), Y at (0.0000, 0.0000, 0.1253), Y at (0.0000, 0.0000, 0.4996), Y at (0.0000, 0.0000, 0.6242), Ir at (0.0000, 0.0000, 0.3122), Ir at (0.0000, 0.0000, 0.8124), Ir at (0.0005, 0.5002, 0.0632) and Ir at (0.1672, 0.3343, 0.8948).


# 22
Pr2Zn7Ir: relaxed, GGA-PBE.

The formation energy is -0.31 eV/atom.

The structure belongs to space group P-4m2 (No. 115); the cell edges are 4.261, 4.261 and 10.555 Å and the angles 90.00°, 90.00° and 90.00°. The inequivalent atoms are Pr at (0.000, 0.500, 0.241), Zn at (0.000, 0.000, 0.000), Zn at (0.000, 0.000, 0.500), Zn at (0.000, 0.500, 0.632), Zn at (0.000, 0.500, 0.868), Zn at (0.500, 0.500, 0.500) and Ir at (0.500, 0.500, 0.000).


# 23
PrZn9Ir2: relaxed, GGA-PBE.

The formation energy is -0.19 eV/atom. For the energy above the most stable polymorph in this dataset, the calculation gives 9.7 kJ per mole of atoms.

The structure belongs to space group P6/mmm (No. 191); the cell edges are 8.7255, 8.7255 and 3.0710 Å and the angles 90.00°, 90.00° and 120.00°. The inequivalent atoms are Pr at (0.0000, 0.0000, 0.0000), Zn at (0.0000, 0.5000, 0.0000), Zn at (0.1888, 0.3775, 0.5000) and Ir at (0.3333, 0.6667, 0.0000).


# 24
Pr5Zn5Ir2: relaxed, GGA-PBE.

The formation energy is -0.41 eV/atom.

The structure belongs to space group C2/m (No. 12); the cell edges are 15.901, 4.348 and 11.621 Å and the angles 90.00°, 133.08° and 90.00°. The inequivalent atoms are Pr at (0.000, 0.000, 0.000), Pr at (0.121, 0.500, 0.817), Pr at (0.204, 0.500, 0.586), Zn at (0.000, 0.000, 0.500), Zn at (0.058, 0.000, 0.324), Zn at (0.214, 0.500, 0.157) and Ir at (0.109, 0.500, 0.261).